# CsCdGaHPt

A geometry-optimized CsCdGaHPt structure (GGA-PBE, the Alexandria database).

Final energy = -29.7 eV for the cell shown
Relative energy among the computed polymorphs = 0.78 eV per formula unit
Spin magnetization = 0.00 μB per formula unit

CIF file:
```
data_CsCdGaHPt
_chemical_formula_sum 'Cs2 Cd2 Ga2 H2 Pt2'
_symmetry_space_group_name_H-M 'C 1 m 1'
_symmetry_Int_Tables_number 8
_cell_length_a 8.627
_cell_length_b 3.707
_cell_length_c 7.897
_cell_angle_alpha 90.00
_cell_angle_beta 99.51
_cell_angle_gamma 90.00
loop_
_symmetry_equiv_pos_as_xyz
'x,y,z'
'x,-y,z'
'x+1/2,y+1/2,z'
'x+1/2,-y+1/2,z'
loop_
_atom_site_label
_atom_site_fract_x
_atom_site_fract_y
_atom_site_fract_z
Cs1 0.000 0.000 0.000
Cd1 0.273 0.500 0.371
Ga1 0.234 0.000 0.641
H1 0.492 0.500 0.601
Pt1 0.020 0.500 0.599
```